1.
Material: CsRhBr2
Method: DFT, GGA-PBE
State: optimized geometry

a = 8.5142 Å, b = 8.5142 Å, c = 8.5142 Å
α = 134.10°, β = 134.10°, γ = 66.94°
Element x y z (fractional)
Cs  0.0000  0.0000  0.0000
Cs  0.7500  0.2500  0.5000
Rh  0.2500  0.7500  0.5000
Rh  0.5000  0.5000  0.0000
Br  0.2733  0.6250  0.1483
Br  0.3750  0.5233  0.6483
Br  0.4767  0.1250  0.8517
Br  0.8750  0.7267  0.3517

Calculated values
As for the space group: No. 122. The energy above the most stable polymorph in this dataset comes out at 0.000 eV per formula unit. The value obtained for the energy relative to the elements, uncorrected is -516 meV per atom.

2.
Material: TaVCN
Method: DFT, GGA-PBE
State: optimized geometry

a = 3.0080 Å, b = 3.0080 Å, c = 5.5241 Å
α = 106.15°, β = 106.15°, γ = 59.96°
Element x y z (fractional)
Ta  0.0000  0.0000  0.0000
V  0.1783  0.1783  0.5385
C  0.5813  0.5813  0.7478
N  0.4208  0.4208  0.2575

Calculated values
As for the space group: No. 8. The energy above the most stable polymorph in this dataset comes out at 0.170 eV per formula unit. The value obtained for the energy relative to the elements, uncorrected is -697 meV per atom.

3.
Material: Mn2HgTeP
Method: DFT, GGA-PBE
State: optimized geometry

a = 5.0560 Å, b = 5.0560 Å, c = 5.5484 Å
α = 90.00°, β = 90.00°, γ = 90.00°
Element x y z (fractional)
Mn  0.0000  0.5000  0.0000
Mn  0.5000  0.0000  0.0000
Hg  0.0000  0.0000  0.0000
Te  0.0000  0.0000  0.5000
P  0.5000  0.5000  0.5000

Calculated values
As for the space group: No. 123. The value obtained for the energy relative to the elements, uncorrected is 1322 meV per atom.

4.
Material: TbErRhPb
Method: DFT, GGA-PBE
State: optimized geometry

a = 3.4797 Å, b = 3.4797 Å, c = 8.0002 Å
α = 90.00°, β = 90.00°, γ = 90.00°
Element x y z (fractional)
Tb  0.0000  0.0000  0.0000
Er  0.0000  0.0000  0.5862
Rh  0.5000  0.5000  0.7874
Pb  0.5000  0.5000  0.2963

Calculated values
As for the space group: No. 99. The energy above the most stable polymorph in this dataset comes out at 0.000 eV per formula unit. For the energy of formation from the pure elements, the calculation gives -2.76 eV per formula unit.

5.
Material: MnSiMo3
Method: DFT, GGA-PBE
State: optimized geometry

a = 4.4320 Å, b = 4.4320 Å, c = 4.4320 Å
α = 90.00°, β = 90.00°, γ = 90.00°
Element x y z (fractional)
Mn  0.0000  0.0000  0.0000
Si  0.5000  0.5000  0.5000
Mo  0.0000  0.5000  0.5000
Mo  0.5000  0.0000  0.5000
Mo  0.5000  0.5000  0.0000

Calculated values
As for the space group: No. 221. The energy above the most stable polymorph in this dataset comes out at 0.946 eV per formula unit. The value obtained for the energy relative to the elements, uncorrected is 1350 meV per atom.

6.
Material: CaMg2Al
Method: DFT, GGA-PBE
State: optimized geometry

a = 6.2208 Å, b = 6.2208 Å, c = 3.2096 Å
α = 102.46°, β = 102.46°, γ = 119.10°
Element x y z (fractional)
Ca  0.0000  0.0000  0.0000
Mg  0.0000  0.5000  0.5000
Mg  0.5000  0.0000  0.5000
Al  0.5000  0.5000  0.0000

Calculated values
As for the space group: No. 12. For the energy of formation from the pure elements, the calculation gives 0.13 eV per formula unit.

7.
Material: Y2CdPRu
Method: DFT, GGA-PBE
State: optimized geometry

a = 5.3164 Å, b = 5.3164 Å, c = 4.3254 Å
α = 90.00°, β = 90.00°, γ = 90.00°
Element x y z (fractional)
Y  0.0000  0.5000  0.0000
Y  0.5000  0.0000  0.0000
Cd  0.0000  0.0000  0.5000
P  0.5000  0.5000  0.0000
Ru  0.5000  0.5000  0.5000

Calculated values
As for the space group: No. 123. For the energy of formation from the pure elements, the calculation gives -2.28 eV per formula unit.